No. 1
Computed, not measured: a geometry-optimized Sn2W8C3N3 structure at the PBE level of DFT.

Lattice parameters (Å, degrees): 3.184 3.184 23.189 90.00 90.00 120.00
Fractional positions:
Sn1 0.333 0.667 0.253
Sn2 0.667 0.333 0.747
W1 0.000 0.000 0.151
W2 0.000 0.000 0.350
W3 0.000 0.000 0.650
W4 0.000 0.000 0.849
W5 0.333 0.667 0.057
W6 0.333 0.667 0.452
W7 0.667 0.333 0.548
W8 0.667 0.333 0.943
C1 0.000 0.000 0.000
C2 0.333 0.667 0.890
C3 0.667 0.333 0.110
N1 0.000 0.000 0.500
N2 0.333 0.667 0.601
N3 0.667 0.333 0.399

Calculated values
Volume   12.727 Å³ per atom
Space group   P-3m1 (164)
Total energy   -9.930 eV per atom

No. 2
Computed, not measured: a geometry-optimized LuZnCd structure at the PBE level of DFT.

Lattice parameters (Å, degrees): 4.774 4.774 4.774 60.00 60.00 60.00
Fractional positions:
Lu1 0.000 0.000 0.000
Zn1 0.250 0.250 0.250
Cd1 0.750 0.750 0.750

Calculated values
Volume   25.638 Å³ per atom
Space group   F-43m (216)
E_form   240 meV per atom
Total energy   -1.988 eV per atom

No. 3
Computed, not measured: a geometry-optimized LiGdTeO structure at the PBE level of DFT.

Lattice parameters (Å, degrees): 4.001 6.594 6.947 90.00 90.00 90.00
Fractional positions:
Li1 0.000 0.179 0.000
Li2 0.000 0.821 0.500
Gd1 0.500 0.469 0.301
Gd2 0.500 0.531 0.801
Te1 0.000 0.241 0.569
Te2 0.000 0.759 0.069
O1 0.500 0.297 0.030
O2 0.500 0.703 0.530

Calculated values
Volume   22.914 Å³ per atom
Space group   Pmc2_1 (26)
Energy above the most stable polymorph in this dataset   0.264 eV per atom
Total energy   -5.602 eV per atom

No. 4
Computed, not measured: a geometry-optimized Lu4SiNiN2 structure at the PBE level of DFT.

Lattice parameters (Å, degrees): 3.369 3.369 13.719 90.00 90.00 120.00
Fractional positions:
Lu1 0.000 0.000 0.142
Lu2 0.000 0.000 0.858
Lu3 0.667 0.333 0.339
Lu4 0.667 0.333 0.661
Si1 0.000 0.000 0.500
Ni1 0.667 0.333 0.000
N1 0.333 0.667 0.250
N2 0.333 0.667 0.750

Calculated values
Volume   16.853 Å³ per atom
Space group   P-6m2 (187)
Total energy   -6.746 eV per atom

No. 5
Computed, not measured: a geometry-optimized FeSi17Ge13P structure at the PBE level of DFT.

Lattice parameters (Å, degrees): 6.821 10.337 10.343 81.74 83.63 71.07
Fractional positions:
Fe1 0.000 0.000 0.000
Si1 0.349 0.548 0.105
Si2 0.351 0.175 0.222
Si3 0.357 0.045 0.602
Si4 0.358 0.424 0.479
Si5 0.479 0.439 0.679
Si6 0.484 0.316 0.059
Si7 0.486 0.817 0.551
Si8 0.488 0.943 0.173
Si9 0.852 0.220 0.045
Si10 0.853 0.744 0.536
Si11 0.858 0.111 0.410
Si12 0.861 0.871 0.154
Si13 0.862 0.485 0.283
Si14 0.975 0.882 0.361
Si15 0.979 0.754 0.738
Si16 0.983 0.250 0.239
Si17 0.983 0.633 0.120
Ge1 0.353 0.677 0.722
Ge2 0.353 0.805 0.348
Ge3 0.356 0.300 0.856
Ge4 0.477 0.693 0.935
Ge5 0.481 0.058 0.809
Ge6 0.482 0.188 0.428
Ge7 0.487 0.562 0.305
Ge8 0.852 0.363 0.663
Ge9 0.861 0.614 0.916
Ge10 0.867 0.981 0.809
Ge11 0.974 0.370 0.876
Ge12 0.981 0.122 0.617
Ge13 0.983 0.507 0.488
P1 0.342 0.928 0.986

Calculated values
Volume   21.283 Å³ per atom
Space group   P1 (1)
Energy above the most stable polymorph in this dataset   0.015 eV per atom
Total energy   -5.134 eV per atom

No. 6
Computed, not measured: a geometry-optimized LiInNiGe structure at the PBE level of DFT.

Lattice parameters (Å, degrees): 4.537 4.537 4.537 60.00 60.00 60.00
Fractional positions:
Li1 0.000 0.000 0.000
In1 0.500 0.500 0.500
Ni1 0.250 0.250 0.250
Ge1 0.750 0.750 0.750

Calculated values
Volume   16.508 Å³ per atom
Space group   F-43m (216)
Energy above the most stable polymorph in this dataset   0.216 eV per atom
Total energy   -3.670 eV per atom